The following is a DFT calculation (PBE-GGA) of Cu2BOsN after structural relaxation.

Properties
* total DFT energy (no corrections): -4.682 eV/atom
* formation energy (no corrections): 2.203 eV per atom
* total magnetic moment: 0.479 μB/atom

CIF file:
```
data_Cu2BOsN
_chemical_formula_sum 'Cu2 B1 Os1 N1'
_space_group_name_H-M_alt 'P 4/m m m'
_space_group_IT_number 123
_space_group_name_Hall '-P 4 2'
_cell_length_a 4.748
_cell_length_b 4.748
_cell_length_c 3.951
_cell_angle_alpha 90.00
_cell_angle_beta 90.00
_cell_angle_gamma 90.00
loop_
_atom_site_label
_atom_site_type_symbol
_atom_site_fract_x
_atom_site_fract_y
_atom_site_fract_z
Cu1 Cu 0.000 0.500 0.000
B1 B 0.000 0.000 0.500
Os1 Os 0.000 0.000 0.000
N1 N 0.500 0.500 0.500
```



The following is a DFT calculation (PBE-GGA) of PmCuBN after structural relaxation.

Properties
* total DFT energy (no corrections): -6.777 eV/atom
* formation energy (no corrections): -0.815 eV per atom
* total magnetic moment: 0.000 μB/atom

CIF file:
```
data_PmCuBN
_chemical_formula_sum 'Pm2 Cu2 B2 N2'
_space_group_name_H-M_alt 'P 4/n m m'
_space_group_IT_number 129
_cell_length_a 3.626
_cell_length_b 3.626
_cell_length_c 7.779
_cell_angle_alpha 90.00
_cell_angle_beta 90.00
_cell_angle_gamma 90.00
loop_
_space_group_symop_operation_xyz
'x,y,z'
'-x,-y,-z'
'-y+1/2,x,z'
'y+1/2,-x,-z'
'-x+1/2,-y+1/2,z'
'x+1/2,y+1/2,-z'
'y,-x+1/2,z'
'-y,x+1/2,-z'
'x+1/2,-y,-z'
'-x+1/2,y,z'
'-y,-x,-z'
'y,x,z'
'-x,y+1/2,-z'
'x,-y+1/2,z'
'y+1/2,x+1/2,-z'
'-y+1/2,-x+1/2,z'
loop_
_atom_site_label
_atom_site_type_symbol
_atom_site_fract_x
_atom_site_fract_y
_atom_site_fract_z
Pm1 Pm 0.250 0.250 0.167
Cu1 Cu 0.250 0.750 0.500
B1 B 0.250 0.250 0.670
N1 N 0.250 0.250 0.855
```



The following is a DFT calculation (PBE-GGA) of RbCu2BN after structural relaxation.

Properties
* total DFT energy (no corrections): -1.520 eV/atom
* formation energy (no corrections): 3.313 eV per atom
* total magnetic moment: 0.060 μB/atom

CIF file:
```
data_RbCu2BN
_chemical_formula_sum 'Rb1 Cu2 B1 N1'
_space_group_name_H-M_alt 'P 4/m m m'
_space_group_IT_number 123
_space_group_name_Hall '-P 4 2'
_cell_length_a 5.787
_cell_length_b 5.787
_cell_length_c 5.664
_cell_angle_alpha 90.00
_cell_angle_beta 90.00
_cell_angle_gamma 90.00
loop_
_atom_site_label
_atom_site_type_symbol
_atom_site_fract_x
_atom_site_fract_y
_atom_site_fract_z
Rb1 Rb 0.000 0.000 0.000
Cu1 Cu 0.000 0.500 0.000
B1 B 0.000 0.000 0.500
N1 N 0.500 0.500 0.500
```



The following is a DFT calculation (PBE-GGA) of CuBSN2 after structural relaxation.

Properties
* total DFT energy (no corrections): -5.404 eV/atom
* formation energy (no corrections): 0.907 eV per atom
* total magnetic moment: 0.000 μB/atom
* energy above the most stable polymorph in this dataset: 0.000 eV/atom

CIF file:
```
data_CuBSN2
_chemical_formula_sum 'Cu1 B1 S1 N2'
_space_group_name_H-M_alt 'P 4/m m m'
_space_group_IT_number 123
_space_group_name_Hall '-P 4 2'
_cell_length_a 3.111
_cell_length_b 3.111
_cell_length_c 7.562
_cell_angle_alpha 90.00
_cell_angle_beta 90.00
_cell_angle_gamma 90.00
loop_
_atom_site_label
_atom_site_type_symbol
_atom_site_fract_x
_atom_site_fract_y
_atom_site_fract_z
Cu1 Cu 0.000 0.000 0.000
B1 B 0.500 0.500 0.500
S1 S 0.500 0.500 0.000
N1 N 0.000 0.500 0.500
```



The following is a DFT calculation (PBE-GGA) of CuBSN2 after structural relaxation.

Properties
* total DFT energy (no corrections): -4.191 eV/atom
* formation energy (no corrections): 2.120 eV per atom
* total magnetic moment: 0.301 μB/atom
* energy above the most stable polymorph in this dataset: 1.213 eV/atom

CIF file:
```
data_CuBSN2
_chemical_formula_sum 'Cu1 B1 S1 N2'
_space_group_name_H-M_alt 'P 4/m m m'
_space_group_IT_number 123
_space_group_name_Hall '-P 4 2'
_cell_length_a 3.439
_cell_length_b 3.439
_cell_length_c 7.311
_cell_angle_alpha 90.00
_cell_angle_beta 90.00
_cell_angle_gamma 90.00
loop_
_atom_site_label
_atom_site_type_symbol
_atom_site_fract_x
_atom_site_fract_y
_atom_site_fract_z
Cu1 Cu 0.000 0.000 0.000
B1 B 0.500 0.500 0.500
S1 S 0.000 0.000 0.500
N1 N 0.000 0.500 0.000
```



The following is a DFT calculation (PBE-GGA) of ScCuBN after structural relaxation.

Properties
* total DFT energy (no corrections): -6.865 eV/atom
* formation energy (no corrections): -0.507 eV per atom
* total magnetic moment: 0.000 μB/atom

CIF file:
```
data_ScCuBN
_chemical_formula_sum 'Sc3 Cu3 B3 N3'
_space_group_name_H-M_alt 'R 3 m'
_space_group_IT_number 160
_space_group_name_Hall 'R 3 -2"'
_cell_length_a 3.5032
_cell_length_b 3.5032
_cell_length_c 14.4091
_cell_angle_alpha 90.00
_cell_angle_beta 90.00
_cell_angle_gamma 120.00
loop_
_atom_site_label
_atom_site_type_symbol
_atom_site_fract_x
_atom_site_fract_y
_atom_site_fract_z
Sc1 Sc 0.0000 0.0000 0.0000
Cu1 Cu 0.0000 0.0000 0.2030
B1 B 0.0000 0.0000 0.8238
N1 N 0.0000 0.0000 0.7266
```



The following is a DFT calculation (PBE-GGA) of ScCuBN after structural relaxation.

Properties
* total DFT energy (no corrections): -6.969 eV/atom
* formation energy (no corrections): -0.611 eV per atom
* total magnetic moment: 0.000 μB/atom

CIF file:
```
data_ScCuBN
_chemical_formula_sum 'Sc2 Cu2 B2 N2'
_space_group_name_H-M_alt 'I 4 m m'
_space_group_IT_number 107
_space_group_name_Hall 'I 4 -2'
_cell_length_a 3.124
_cell_length_b 3.124
_cell_length_c 8.735
_cell_angle_alpha 90.00
_cell_angle_beta 90.00
_cell_angle_gamma 90.00
loop_
_atom_site_label
_atom_site_type_symbol
_atom_site_fract_x
_atom_site_fract_y
_atom_site_fract_z
Sc1 Sc 0.000 0.000 0.000
Cu1 Cu 0.000 0.000 0.298
B1 B 0.000 0.000 0.704
N1 N 0.000 0.000 0.537
```



The following is a DFT calculation (PBE-GGA) of ScCuBN after structural relaxation.

Properties
* total DFT energy (no corrections): -6.839 eV/atom
* formation energy (no corrections): -0.481 eV per atom
* total magnetic moment: 0.000 μB/atom

CIF file:
```
data_ScCuBN
_chemical_formula_sum 'Sc2 Cu2 B2 N2'
_space_group_name_H-M_alt 'C 1 m 1'
_space_group_IT_number 8
_cell_length_a 6.702
_cell_length_b 3.280
_cell_length_c 4.165
_cell_angle_alpha 90.00
_cell_angle_beta 93.12
_cell_angle_gamma 90.00
loop_
_space_group_symop_operation_xyz
'x,y,z'
'x,-y,z'
'x+1/2,y+1/2,z'
'x+1/2,-y+1/2,z'
loop_
_atom_site_label
_atom_site_type_symbol
_atom_site_fract_x
_atom_site_fract_y
_atom_site_fract_z
Sc1 Sc 0.000 0.000 0.000
Cu1 Cu 0.196 0.500 0.469
B1 B 0.396 0.000 0.489
N1 N 0.293 0.000 0.780
```